# 1
Density functional theory data (PBE) for a relaxed Ta3Se2 crystal.

a = 10.1125 Å, b = 10.1125 Å, c = 10.1125 Å
α = 18.80°, β = 18.80°, γ = 18.80°
With the nearest neighbours (Å) after each atom.
Fractional coordinates of all 5 atoms:
1 Ta 0.0000 0.0000 0.0000  6 Se 2.69
2 Ta 0.1989 0.1989 0.1989  3 Ta 2.71, 3 Se 2.84
3 Ta 0.8011 0.8011 0.8011  3 Ta 2.71, 3 Se 2.84
4 Se 0.6028 0.6028 0.6028  6 Ta 2.69-2.84
5 Se 0.3972 0.3972 0.3972  6 Ta 2.69-2.84

Summary:
- formation energy (no corrections) (eV/atom) = -0.017
- V (Å³ per atom) = 18.8

=====

# 2
Density functional theory data (PBE) for a relaxed Ta3Se crystal.

a = 4.6725 Å, b = 4.6725 Å, c = 4.6725 Å
α = 60.00°, β = 60.00°, γ = 60.00°
With the nearest neighbours (Å) after each atom.
Fractional coordinates of all 4 atoms:
1 Ta 0.5000 0.5000 0.5000  8 Ta 2.86
2 Ta 0.2500 0.2500 0.2500  4 Ta 2.86, 4 Se 2.86
3 Ta 0.7500 0.7500 0.7500  4 Ta 2.86, 4 Se 2.86
4 Se 0.0000 0.0000 0.0000  8 Ta 2.86

Summary:
- formation energy (no corrections) (eV/atom) = 0.339
- V (Å³ per atom) = 18.0
- energy above the lowest structure with this stoichiometry (eV per atom) = 0.3614